Entry 1:
# TaNb2Cd

TaNb2Cd after structural relaxation (PBE, the Alexandria database).

Geometry as extended XYZ:
```
16
Lattice="3.994 0.000 0.000 0.000 3.994 0.000 0.000 0.000 20.286" Properties=species:S:1:pos:R:3 pbc="T T T"
Ta 0.000 0.000 0.000
Ta 0.000 1.997 5.072
Ta 1.997 0.000 15.215
Ta 1.997 1.997 10.143
Nb 0.947 0.999 2.536
Nb 0.999 2.944 7.607
Nb 0.999 3.047 17.750
Nb 1.050 0.999 12.679
Nb 2.944 2.996 12.679
Nb 2.996 0.947 17.750
Nb 2.996 1.050 7.607
Nb 3.047 2.996 2.536
Cd 0.000 0.000 10.143
Cd 0.000 1.997 15.215
Cd 1.997 0.000 5.072
Cd 1.997 1.997 0.000
```

* space group: I-42d, No. 122
* formation enthalpy at 0 K: 0.745 eV per atom
* E_tot: -119.715 eV for the cell shown
* size of the total moment: 0.000 μB/f.u.
* density of states at the Fermi level: 16.63 states/eV per cell

***

Entry 2:
# BaLaMo2

BaLaMo2 after structural relaxation (PBE, the Alexandria database).

Geometry as extended XYZ:
```
8
Lattice="6.318 0.000 0.000 0.000 10.157 0.000 -1.029 0.000 2.942" Properties=species:S:1:pos:R:3 pbc="T T T"
Ba 0.000 0.000 0.000
Ba 3.159 5.078 0.000
La 0.000 5.078 0.000
La 3.159 0.000 0.000
Mo 1.065 2.539 1.471
Mo 1.065 7.618 1.471
Mo 4.224 2.539 1.471
Mo 4.224 7.618 1.471
```

* space group: C2/m, No. 12
* formation enthalpy at 0 K: 1.236 eV per atom
* E_tot: -47.138 eV for the cell shown
* size of the total moment: 0.001 μB/f.u.
* density of states at the Fermi level: 12.64 states/eV per cell

***

Entry 3:
# Ca2I3Br

Ca2I3Br after structural relaxation (PBE, the Alexandria database).

Geometry as extended XYZ:
```
12
Lattice="11.912 -2.263 0.000 11.912 2.263 0.000 -0.218 0.000 10.178" Properties=species:S:1:pos:R:3 pbc="T T T"
Ca 1.728 0.000 1.372
Ca 7.036 0.000 6.648
Ca 16.570 0.000 3.530
Ca 21.877 0.000 8.806
I 1.083 0.000 8.541
I 6.734 0.000 3.443
I 10.037 0.000 6.330
I 13.569 0.000 3.848
I 16.872 0.000 6.735
I 22.523 0.000 1.637
Br 7.882 0.000 9.347
Br 15.723 0.000 0.831
```

* space group: C2/m, No. 12
* E_tot: -39.528 eV for the cell shown
* formation energy (no corrections): -9.437 eV per formula unit
* size of the total moment: 0.000 μB/f.u.
* density of states at the Fermi level: 0.00 states/eV per cell

***

Entry 4:
# GeIr2PdPb

GeIr2PdPb after structural relaxation (PBE, the Alexandria database).

Geometry as extended XYZ:
```
5
Lattice="4.987 0.000 0.000 0.000 4.987 0.000 0.000 0.000 4.538" Properties=species:S:1:pos:R:3 pbc="T T T"
Ge 0.000 0.000 0.000
Ir 0.000 2.493 2.269
Ir 2.493 0.000 2.269
Pd 0.000 0.000 2.269
Pb 2.493 2.493 0.000
```

* space group: P4/mmm, No. 123
* formation enthalpy at 0 K: 1.162 eV per atom
* E_tot: -25.428 eV for the cell shown
* size of the total moment: 1.927 μB/f.u.
* density of states at the Fermi level: 5.03 states/eV per cell

***

Question: Look up the size of the total moment of the third one.
Answer: 0.000 μB/f.u.